[1]
An optimized crystal structure of TaAlCr2, computed with PBE-GGA.

energy relative to the elements	1.321	eV/f.u.
symmetry	R-3m (166)
V	182.6	Å³/cell

abc: 2.844 2.844 26.068
angles: 90.00 90.00 120.00
Positions (direct):
Ta  0.000  0.000  0.000
Ta  0.333  0.667  0.667
Ta  0.667  0.333  0.333
Al  0.000  0.000  0.500
Al  0.333  0.667  0.167
Al  0.667  0.333  0.833
Cr  0.000  0.000  0.249
Cr  0.000  0.000  0.751
Cr  0.333  0.667  0.418
Cr  0.333  0.667  0.915
Cr  0.667  0.333  0.085
Cr  0.667  0.333  0.582

[2]
An optimized crystal structure of CaTb3Y5, computed with PBE-GGA.

energy relative to the elements	0.878	eV/f.u.
symmetry	Cmcm (63)
V	591.7	Å³/cell

abc: 9.882 9.882 6.989
angles: 90.00 90.00 60.10
Positions (direct):
Ca  0.148  0.852  0.750
Ca  0.852  0.148  0.250
Tb  0.172  0.172  0.000
Tb  0.172  0.172  0.500
Tb  0.500  0.500  0.000
Tb  0.500  0.500  0.500
Tb  0.828  0.828  0.000
Tb  0.828  0.828  0.500
Y  0.145  0.502  0.250
Y  0.190  0.493  0.750
Y  0.192  0.808  0.250
Y  0.493  0.190  0.250
Y  0.498  0.855  0.250
Y  0.502  0.145  0.750
Y  0.507  0.810  0.750
Y  0.808  0.192  0.750
Y  0.810  0.507  0.250
Y  0.855  0.498  0.750

[3]
An optimized crystal structure of BaFe2Se, computed with PBE-GGA.

formation energy (no corrections)	0.07	eV per atom
symmetry	P4mm (99)
V	87.2	Å³/cell

abc: 3.491 3.491 7.155
angles: 90.00 90.00 90.00
Positions (direct):
Ba  0.000  0.000  0.000
Fe  0.000  0.000  0.477
Fe  0.500  0.500  0.360
Se  0.500  0.500  0.692

[4]
An optimized crystal structure of Hf4CoP, computed with PBE-GGA.

energy relative to the elements	-3.753	eV/f.u.
symmetry	P4/mcc (124)
V	215.5	Å³/cell

abc: 6.350 6.350 5.344
angles: 90.00 90.00 90.00
Positions (direct):
Hf  0.158  0.331  0.000
Hf  0.158  0.669  0.500
Hf  0.331  0.158  0.500
Hf  0.331  0.842  0.000
Hf  0.669  0.158  0.000
Hf  0.669  0.842  0.500
Hf  0.842  0.331  0.500
Hf  0.842  0.669  0.000
Co  0.000  0.000  0.250
Co  0.000  0.000  0.750
P  0.500  0.500  0.250
P  0.500  0.500  0.750

[5]
An optimized crystal structure of NdSn4RuRh2, computed with PBE-GGA.

energy relative to the elements	-3.529	eV/f.u.
symmetry	R-3m (166)
V	165.8	Å³/cell

abc: 9.781 9.781 9.781
angles: 26.64 26.64 26.64
Positions (direct):
Nd  0.000  0.000  0.000
Sn  0.131  0.131  0.131
Sn  0.398  0.398  0.398
Sn  0.602  0.602  0.602
Sn  0.869  0.869  0.869
Ru  0.500  0.500  0.500
Rh  0.231  0.231  0.231
Rh  0.769  0.769  0.769

[6]
An optimized crystal structure of PrTmGaCo, computed with PBE-GGA.

energy relative to the elements	-0.980	eV/f.u.
symmetry	F-43m (216)
V	354.0	Å³/cell

abc: 7.074 7.074 7.074
angles: 90.00 90.00 90.00
Positions (direct):
Pr  0.000  0.000  0.000
Pr  0.000  0.500  0.500
Pr  0.500  0.000  0.500
Pr  0.500  0.500  0.000
Tm  0.000  0.000  0.500
Tm  0.000  0.500  0.000
Tm  0.500  0.000  0.000
Tm  0.500  0.500  0.500
Ga  0.250  0.250  0.250
Ga  0.250  0.750  0.750
Ga  0.750  0.250  0.750
Ga  0.750  0.750  0.250
Co  0.250  0.250  0.750
Co  0.250  0.750  0.250
Co  0.750  0.250  0.250
Co  0.750  0.750  0.750

[7]
An optimized crystal structure of KU2PtSe4, computed with PBE-GGA.

formation energy (no corrections)	-1.02	eV per atom
symmetry	Cmcm (63)
V	418.3	Å³/cell

abc: 7.359 7.359 14.325
angles: 90.00 90.00 147.37
Positions (direct):
K  0.118  0.882  0.750
K  0.882  0.118  0.250
U  0.367  0.633  0.569
U  0.367  0.633  0.931
U  0.633  0.367  0.069
U  0.633  0.367  0.431
Pt  0.155  0.845  0.250
Pt  0.845  0.155  0.750
Se  0.000  0.000  0.000
Se  0.000  0.000  0.500
Se  0.268  0.732  0.108
Se  0.268  0.732  0.392
Se  0.446  0.554  0.750
Se  0.554  0.446  0.250
Se  0.732  0.268  0.608
Se  0.732  0.268  0.892

[8]
An optimized crystal structure of GeOsOF2, computed with PBE-GGA.

formation energy (no corrections)	-0.48	eV per atom
excess energy over the best structure of this formula in the dataset	0.00	kJ/mol of atoms
symmetry	P4/mmm (123)
V	73.5	Å³/cell

abc: 4.448 4.448 3.714
angles: 90.00 90.00 90.00
Positions (direct):
Ge  0.000  0.000  0.000
Os  0.500  0.500  0.500
O  0.500  0.500  0.000
F  0.000  0.500  0.500
F  0.500  0.000  0.500